This record from Alexandria describes a relaxed CrBrNO2 crystal. The functional is PBE+U.

Structure (POSCAR):
```
CrBrNO2
1.0
-3.0263 0.6506 1.7893
-1.8639 -0.3272 -3.0335
-0.4975 -4.4854 0.7896
Cr O Br N
1 2 1 1
Cartesian
0.0000 0.0000 0.0000
-0.9319 -0.1636 -1.5167
-1.5131 0.3253 0.8946
-2.6938 -2.0810 -0.2273
-0.2488 -2.2427 0.3948
```

Summary:
- DOS at the Fermi energy (states/eV per cell) = 2.72
- theoretical density (g/cm³) = 5.0
- raw total energy (eV per atom) = -5.06